Entry 1:
HgRh2S2 after structural relaxation. Source: Alexandria, functional PBE.

Output
E = -22.80 eV for the cell shown
E_form (uncorrected) = 0.09 eV/atom

Unit cell a=5.829 b=5.829 c=5.829 alpha=137.25 beta=137.25 gamma=62.05
Atoms (fractional coordinates):
Hg1 0.000 0.000 0.000
Rh1 0.360 0.360 0.000
Rh2 0.640 0.640 0.000
S1 0.250 0.750 0.500
S2 0.750 0.250 0.500

Entry 2:
HgRhS2 after structural relaxation. Source: Alexandria, functional PBE.

Output
E = -33.91 eV for the cell shown
E_form (uncorrected) = -0.26 eV/atom

Unit cell a=3.604 b=3.604 c=15.228 alpha=90.00 beta=90.00 gamma=120.00
Atoms (fractional coordinates):
Hg1 0.333 0.667 0.250
Hg2 0.667 0.333 0.750
Rh1 0.000 0.000 0.000
Rh2 0.000 0.000 0.500
S1 0.333 0.667 0.077
S2 0.333 0.667 0.423
S3 0.667 0.333 0.577
S4 0.667 0.333 0.923

Entry 3:
Hg3RhS after structural relaxation. Source: Alexandria, functional PBE.

Output
E = -9.46 eV for the cell shown
E_form (uncorrected) = 0.58 eV/atom

Unit cell a=5.215 b=5.215 c=5.215 alpha=90.00 beta=90.00 gamma=90.00
Atoms (fractional coordinates):
Hg1 0.000 0.000 0.500
Hg2 0.000 0.500 0.000
Hg3 0.500 0.000 0.000
Rh1 0.000 0.000 0.000
S1 0.500 0.500 0.500

Entry 4:
HgRhS2 after structural relaxation. Source: Alexandria, functional PBE.

Output
E = -33.89 eV for the cell shown
E_form (uncorrected) = -0.26 eV/atom

Unit cell a=7.669 b=3.610 c=6.166 alpha=90.00 beta=95.68 gamma=90.00
Atoms (fractional coordinates):
Hg1 0.000 0.000 0.000
Hg2 0.000 0.000 0.500
Rh1 0.500 0.245 0.250
Rh2 0.500 0.755 0.750
S1 0.345 0.251 0.565
S2 0.345 0.749 0.065
S3 0.655 0.251 0.935
S4 0.655 0.749 0.435

Entry 5:
HgRh2S2 after structural relaxation. Source: Alexandria, functional PBE.

Output
E = -24.18 eV for the cell shown
E_form (uncorrected) = -0.18 eV/atom

Unit cell a=9.853 b=9.853 c=9.853 alpha=157.10 beta=157.10 gamma=32.61
Atoms (fractional coordinates):
Hg1 0.000 0.000 0.000
Rh1 0.250 0.750 0.500
Rh2 0.750 0.250 0.500
S1 0.182 0.182 0.000
S2 0.818 0.818 0.000

Entry 6:
Hg3RhS after structural relaxation. Source: Alexandria, functional PBE.

Output
E = -7.39 eV for the cell shown
E_form (uncorrected) = 1.00 eV/atom

Unit cell a=5.095 b=5.095 c=5.095 alpha=90.00 beta=90.00 gamma=90.00
Atoms (fractional coordinates):
Hg1 0.000 0.000 0.500
Hg2 0.000 0.500 0.000
Hg3 0.500 0.000 0.000
Rh1 0.500 0.500 0.500
S1 0.000 0.000 0.000

Entry 7:
HgRhS after structural relaxation. Source: Alexandria, functional PBE.

Output
E = -12.24 eV for the cell shown
E_form (uncorrected) = -0.15 eV/atom

Unit cell a=3.319 b=3.319 c=6.041 alpha=90.00 beta=90.00 gamma=120.00
Atoms (fractional coordinates):
Hg1 0.000 0.000 0.000
Rh1 0.667 0.333 0.370
S1 0.333 0.667 0.574

Entry 8:
HgRhS2 after structural relaxation. Source: Alexandria, functional PBE.

Output
E = -14.80 eV for the cell shown
E_form (uncorrected) = 0.28 eV/atom

Unit cell a=11.115 b=11.115 c=11.115 alpha=14.69 beta=14.69 gamma=14.69
Atoms (fractional coordinates):
Hg1 0.000 0.000 0.000
Rh1 0.500 0.500 0.500
S1 0.432 0.432 0.432
S2 0.568 0.568 0.568

Please write out number 2 again, unchanged.
HgRhS2 after structural relaxation. Source: Alexandria, functional PBE.

Output
E = -33.91 eV for the cell shown
E_form (uncorrected) = -0.26 eV/atom

Unit cell a=3.604 b=3.604 c=15.228 alpha=90.00 beta=90.00 gamma=120.00
Atoms (fractional coordinates):
Hg1 0.333 0.667 0.250
Hg2 0.667 0.333 0.750
Rh1 0.000 0.000 0.000
Rh2 0.000 0.000 0.500
S1 0.333 0.667 0.077
S2 0.333 0.667 0.423
S3 0.667 0.333 0.577
S4 0.667 0.333 0.923

Please write out number 1 again, unchanged.
HgRh2S2 after structural relaxation. Source: Alexandria, functional PBE.

Output
E = -22.80 eV for the cell shown
E_form (uncorrected) = 0.09 eV/atom

Unit cell a=5.829 b=5.829 c=5.829 alpha=137.25 beta=137.25 gamma=62.05
Atoms (fractional coordinates):
Hg1 0.000 0.000 0.000
Rh1 0.360 0.360 0.000
Rh2 0.640 0.640 0.000
S1 0.250 0.750 0.500
S2 0.750 0.250 0.500

What is the formula in the first record? HgRh2S2